Here is ScCuPb2 after structural relaxation from the Alexandria database. Energies are from GGA-PBE.

DFT formation energy = -42 meV/atom
DOS at the Fermi energy = 0.673 states/eV/atom
Final energy = -18.0 eV for the cell shown
Distance to the lowest polymorph of the same formula = 29 meV per atom

```
ScCuPb2
1.0
-1.745 2.461 5.415
1.745 -2.461 5.415
1.745 2.461 -5.415
Sc Cu Pb
1 1 2
direct
0.000 0.000 0.000
0.208 0.708 0.500
0.448 0.448 0.000
0.728 0.228 0.500
```


Here is Pm2ErMn after structural relaxation from the Alexandria database. Energies are from GGA-PBE.

DFT formation energy = 170 meV/atom
DOS at the Fermi energy = 1.438 states/eV/atom
Final energy = -22.6 eV for the cell shown
Distance to the lowest polymorph of the same formula = 0 meV per atom

```
Pm2ErMn
1.0
3.601 0.000 0.000
0.000 3.601 0.000
0.000 0.000 8.777
Pm Er Mn
2 1 1
direct
0.000 0.000 0.210
0.000 0.000 0.790
0.500 0.500 0.500
0.500 0.500 0.000
```